No. 1
First-principles (GGA-PBE) data for a relaxed structure of YRuBr2, as listed in Alexandria via LeMat-Bulk.

Results
**Formation energy from raw total energies**: 6.2 kJ per mole of atoms
**Calculated volume**: 22.23 Å³ per atom
**Crystal system**: cubic
**Total magnetic moment**: 1.12 Bohr magnetons per cell
**Symmetry**: F-43m
**Total DFT energy (no corrections)**: -4.71 eV per atom

Cell lengths 5.010, 5.010, 5.010 Å; angles 60.00, 60.00, 60.00 degrees
Each line ends with the local moment (μB).
Atoms (fractional coordinates):
Ru1 0.500 0.500 0.500  1.12
Br1 0.750 0.750 0.750  0.01
Br2 0.000 0.000 0.000  0.07
Y1 0.250 0.250 0.250  -0.11

No. 2
First-principles (GGA-PBE) data for a relaxed structure of Y3RuBr3, as listed in Alexandria via LeMat-Bulk.

Results
**Formation energy from raw total energies**: -120.2 kJ per mole of atoms
**Calculated volume**: 29.70 Å³ per atom
**Crystal system**: monoclinic
**Total magnetic moment**: 0.00 Bohr magnetons per cell
**Symmetry**: P2_1/m
**Total DFT energy (no corrections)**: -6.06 eV per atom

Cell lengths 4.106, 8.510, 11.905 Å; angles 91.95, 90.00, 90.00 degrees
Atoms (fractional coordinates):
Y1 0.750 0.101 0.827
Y2 0.250 0.854 0.638
Y3 0.250 0.899 0.173
Y4 0.250 0.268 0.604
Y5 0.750 0.732 0.396
Y6 0.750 0.146 0.362
Ru1 0.750 0.052 0.595
Ru2 0.250 0.948 0.405
Br1 0.750 0.659 0.142
Br2 0.250 0.341 0.858
Br3 0.250 0.434 0.370
Br4 0.750 0.132 0.100
Br5 0.250 0.868 0.900
Br6 0.750 0.566 0.630

No. 3
First-principles (GGA-PBE) data for a relaxed structure of YRuBr2, as listed in Alexandria via LeMat-Bulk.

Results
**Formation energy from raw total energies**: -10.1 kJ per mole of atoms
**Calculated volume**: 24.46 Å³ per atom
**Crystal system**: trigonal
**Total magnetic moment**: 2.08 Bohr magnetons per cell
**Symmetry**: R-3m
**Total DFT energy (no corrections)**: -4.88 eV per atom

Cell lengths 9.421, 9.421, 9.421 Å; angles 21.43, 21.43, 21.43 degrees
Each line ends with the local moment (μB).
Atoms (fractional coordinates):
Y1 0.500 0.500 0.500  -0.03
Ru1 0.000 0.000 0.000  2.01
Br1 0.092 0.092 0.092  0.02
Br2 0.908 0.908 0.908  0.02

No. 4
First-principles (GGA-PBE) data for a relaxed structure of YRu2Br, as listed in Alexandria via LeMat-Bulk.

Results
**Formation energy from raw total energies**: -8.9 kJ per mole of atoms
**Calculated volume**: 21.90 Å³ per atom
**Crystal system**: orthorhombic
**Total magnetic moment**: 0.00 Bohr magnetons per cell
**Symmetry**: Amm2
**Total DFT energy (no corrections)**: -6.76 eV per atom

Cell lengths 3.372, 3.376, 7.877 Å; angles 77.59, 90.00, 90.00 degrees
Atoms (fractional coordinates):
Ru1 0.000 0.761 0.104
Ru2 0.500 0.205 0.216
Br1 0.500 0.957 0.709
Y1 0.000 0.577 0.471